No. 1
## CsW2Br (GGA-PBE)

Data for an optimized crystal structure of CsW2Br.

abc: 4.829 4.829 4.829
angles: 60.00 60.00 60.00
Element x y z (fractional)
Cs 0.500 0.500 0.500
Br 0.000 0.000 0.000
W 0.250 0.250 0.250
W 0.750 0.750 0.750

Its symmetry is Fm-3m (225). The value obtained for the energy above the most stable polymorph in this dataset is 935.7 meV per atom.


No. 2
## CsWBr5 (GGA-PBE)

Data for an optimized crystal structure of CsWBr5.

abc: 8.389 8.389 10.958
angles: 84.24 118.47 120.55
Last column: magnetic moment on the atom in μB.
Element x y z (fractional)
Cs 0.760 0.510 0.250  0.00
Cs 0.240 0.490 0.750  0.00
W 0.000 0.000 0.000  1.47
W 0.500 0.000 0.500  1.47
Br 0.759 0.925 0.101  0.03
Br 0.192 0.917 0.535  0.03
Br 0.676 0.342 0.601  0.03
Br 0.331 0.081 0.250  0.00
Br 0.881 0.656 0.965  0.03
Br 0.119 0.344 0.035  0.03
Br 0.669 0.919 0.750  0.00
Br 0.324 0.658 0.399  0.03
Br 0.808 0.083 0.465  0.03
Br 0.241 0.075 0.899  0.03

Its symmetry is C2/c (15). The calculation puts the energy at -55.03 eV per cell.


No. 3
## Cs2WBr7 (GGA-PBE)

Data for an optimized crystal structure of Cs2WBr7.

abc: 8.307 11.063 10.038
angles: 83.37 65.56 67.95
Last column: magnetic moment on the atom in μB.
Element x y z (fractional)
Cs 0.596 0.948 0.728  0.00
Cs 0.729 0.448 0.228  0.00
Cs 0.271 0.552 0.772  0.00
Cs 0.404 0.052 0.272  0.00
W 0.979 0.250 0.750  0.86
W 0.021 0.750 0.250  0.86
Br 0.815 0.489 0.828  0.02
Br 0.868 0.989 0.328  0.02
Br 0.209 0.822 0.990  -0.02
Br 0.324 0.259 0.578  -0.01
Br 0.661 0.250 0.750  -0.02
Br 0.978 0.322 0.490  -0.02
Br 0.160 0.241 0.922  -0.01
Br 0.840 0.759 0.078  -0.01
Br 0.022 0.678 0.510  -0.02
Br 0.339 0.750 0.250  -0.02
Br 0.676 0.741 0.422  -0.01
Br 0.791 0.178 0.010  -0.02
Br 0.132 0.011 0.672  0.02
Br 0.185 0.511 0.172  0.02

Its symmetry is C2/c (15). The calculation puts the energy at -70.70 eV per cell.


No. 4
## Cs2W2Br (GGA-PBE)

Data for an optimized crystal structure of Cs2W2Br.

abc: 10.780 10.780 3.613
angles: 90.00 90.00 90.00
Element x y z (fractional)
Cs 0.213 0.713 0.500
Cs 0.713 0.787 0.500
Cs 0.787 0.287 0.500
Cs 0.287 0.213 0.500
Br 0.000 0.000 0.000
Br 0.500 0.500 0.000
W 0.431 0.931 0.000
W 0.931 0.569 0.000
W 0.569 0.069 0.000
W 0.069 0.431 0.000

Its symmetry is P4/mbm (127). The calculation puts the energy at -46.28 eV per cell.


No. 5
## Cs3WBr (GGA-PBE)

Data for an optimized crystal structure of Cs3WBr.

abc: 6.872 6.872 6.872
angles: 90.00 90.00 90.00
Last column: magnetic moment on the atom in μB.
Element x y z (fractional)
Cs 0.000 0.500 0.000  0.02
Cs 0.000 0.000 0.500  0.03
Cs 0.500 0.000 0.000  0.01
Br 0.000 0.000 0.000  0.01
W 0.500 0.500 0.500  3.46

Its symmetry is Pm-3m (221). The value obtained for the energy above the most stable polymorph in this dataset is 0.0 meV per atom.


No. 6
## CsWBr3 (GGA-PBE)

Data for an optimized crystal structure of CsWBr3.

abc: 4.794 8.575 9.423
angles: 67.34 90.04 106.24
Element x y z (fractional)
Cs 0.562 0.093 0.342
Cs 0.394 0.753 0.079
W 0.763 0.493 0.706
W 0.193 0.353 0.716
Br 0.871 0.710 0.415
Br 0.601 0.169 0.721
Br 0.355 0.677 0.700
Br 0.085 0.136 0.007
Br 0.757 0.481 0.984
Br 0.199 0.365 0.437

Its symmetry is P-1 (2). The value obtained for the energy above the most stable polymorph in this dataset is 0.0 meV per atom.


No. 7
## Cs2WBr5 (GGA-PBE)

Data for an optimized crystal structure of Cs2WBr5.

abc: 8.113 8.112 7.693
angles: 121.81 121.82 90.00
Last column: magnetic moment on the atom in μB.
Element x y z (fractional)
Cs 0.260 0.760 0.520  0.00
Cs 0.760 0.260 0.520  0.00
W 0.977 0.977 0.954  2.18
Br 0.788 0.234 0.022  0.03
Br 0.234 0.234 0.022  0.03
Br 0.788 0.788 0.022  0.03
Br 0.234 0.788 0.022  0.03
Br 0.736 0.736 0.472  0.04

Its symmetry is I4mm (107). The calculation puts the energy at -30.94 eV per cell.


No. 8
## CsWBr2 (GGA-PBE)

Data for an optimized crystal structure of CsWBr2.

abc: 6.589 6.589 8.401
angles: 66.91 66.91 90.00
Element x y z (fractional)
Cs 0.500 0.500 0.000
Cs 0.250 0.750 0.500
Br 0.775 0.125 0.250
Br 0.975 0.625 0.250
Br 0.375 0.225 0.750
Br 0.875 0.025 0.750
W 0.000 0.000 0.000
W 0.750 0.250 0.500

Its symmetry is I-42d (122). The value obtained for the energy above the most stable polymorph in this dataset is 3.2 meV per atom.


No. 9
## CsWBr2 (GGA-PBE)

Data for an optimized crystal structure of CsWBr2.

abc: 10.673 10.673 10.673
angles: 18.72 18.72 18.72
Element x y z (fractional)
Cs 0.500 0.500 0.500
Br 0.922 0.922 0.922
Br 0.078 0.078 0.078
W 0.000 0.000 0.000

Its symmetry is R-3m (166). The value obtained for the energy above the most stable polymorph in this dataset is 0.0 meV per atom.


No. 10
## Cs3WBr6 (GGA-PBE)

Data for an optimized crystal structure of Cs3WBr6.

abc: 8.473 8.473 8.473
angles: 60.00 60.00 90.00
Last column: magnetic moment on the atom in μB.
Element x y z (fractional)
Cs 0.500 0.500 0.000  0.00
Cs 0.750 0.250 0.500  0.00
Cs 0.250 0.750 0.500  0.00
Br 0.217 0.217 0.566  0.02
Br 0.783 0.783 0.434  0.02
Br 0.217 0.217 0.000  0.02
Br 0.783 0.783 0.000  0.02
Br 0.783 0.217 0.000  0.02
Br 0.217 0.783 0.000  0.02
W 0.000 0.000 0.000  2.20

Its symmetry is Fm-3m (225). The calculation puts the energy at -37.24 eV per cell.


No. 11
## CsW2Br (GGA-PBE)

Data for an optimized crystal structure of CsW2Br.

abc: 4.614 4.614 11.411
angles: 78.34 78.34 90.00
Element x y z (fractional)
Cs 0.000 0.000 0.000
Cs 0.750 0.250 0.500
Br 0.500 0.500 0.000
Br 0.250 0.750 0.500
W 0.286 0.125 0.250
W 0.464 0.625 0.250
W 0.375 0.714 0.750
W 0.875 0.536 0.750

Its symmetry is I-42d (122). The value obtained for the energy above the most stable polymorph in this dataset is 0.0 meV per atom.


No. 12
## CsWBr2 (GGA-PBE)

Data for an optimized crystal structure of CsWBr2.

abc: 5.705 5.705 5.705
angles: 60.00 60.00 60.00
Last column: magnetic moment on the atom in μB.
Element x y z (fractional)
Cs 0.000 0.000 0.000  0.03
Br 0.250 0.250 0.250  0.03
Br 0.750 0.750 0.750  0.03
W 0.500 0.500 0.500  3.50

Its symmetry is Fm-3m (225). The value obtained for the energy above the most stable polymorph in this dataset is 293.9 meV per atom.


No. 13
## CsWBr6 (GGA-PBE)

Data for an optimized crystal structure of CsWBr6.

abc: 7.359 7.359 7.924
angles: 62.33 62.33 60.00
Last column: magnetic moment on the atom in μB.
Element x y z (fractional)
Cs 0.500 0.500 0.500  0.00
W 0.000 0.000 0.000  0.80
Br 0.911 0.911 0.784  0.00
Br 0.394 0.911 0.784  0.00
Br 0.089 0.606 0.216  0.00
Br 0.606 0.089 0.216  0.00
Br 0.089 0.089 0.216  0.00
Br 0.911 0.394 0.784  0.00

Its symmetry is R-3m (166). The value obtained for the energy above the most stable polymorph in this dataset is 13.9 meV per atom.


No. 14
## Cs2YWBr6 (GGA-PBE)

Data for an optimized crystal structure of Cs2YWBr6.

abc: 7.722 7.722 7.720
angles: 59.99 59.99 90.00
Last column: magnetic moment on the atom in μB.
Element x y z (fractional)
Cs 0.750 0.250 0.500  0.00
Cs 0.250 0.750 0.500  0.00
Y 0.500 0.500 0.000  -0.19
Br 0.241 0.241 0.518  0.01
Br 0.759 0.759 0.482  0.01
Br 0.241 0.241 0.000  0.01
Br 0.759 0.759 0.000  0.01
Br 0.759 0.241 0.000  0.01
Br 0.241 0.759 0.000  0.01
W 0.000 0.000 0.000  0.96

Its symmetry is Fm-3m (225). The calculation puts the energy at -41.26 eV per cell.


No. 15
## CsYBr4 (GGA-PBE)

Data for an optimized crystal structure of CsYBr4.

abc: 5.725 8.243 11.037
angles: 90.00 105.03 90.00
Element x y z (fractional)
Cs 0.347 0.750 0.693
Cs 0.653 0.250 0.307
Y 0.094 0.750 0.189
Y 0.906 0.250 0.811
Br 0.183 0.514 0.366
Br 0.817 0.486 0.634
Br 0.183 0.986 0.366
Br 0.817 0.014 0.634
Br 0.583 0.750 0.167
Br 0.417 0.250 0.833
Br 0.000 0.500 0.000
Br 0.000 0.000 0.000

Its symmetry is Cmcm (63). The value obtained for the energy above the most stable polymorph in this dataset is 0.0 meV per atom.


No. 16
## Cs2YBr7 (GGA-PBE)

Data for an optimized crystal structure of Cs2YBr7.

abc: 9.004 9.004 8.361
angles: 57.42 57.42 90.00
Element x y z (fractional)
Cs 0.750 0.250 0.500
Cs 0.250 0.750 0.500
Y 0.000 0.000 0.000
Br 0.500 0.500 0.000
Br 0.267 0.267 0.466
Br 0.733 0.733 0.534
Br 0.217 0.217 0.000
Br 0.783 0.783 0.000
Br 0.783 0.217 0.000
Br 0.217 0.783 0.000

Its symmetry is I4/mmm (139). The calculation puts the energy at -33.95 eV per cell.


No. 17
## Cs6Y3Br14 (GGA-PBE)

Data for an optimized crystal structure of Cs6Y3Br14.

abc: 7.116 13.189 13.189
angles: 120.00 90.00 90.00
Last column: magnetic moment on the atom in μB.
Element x y z (fractional)
Cs 0.245 0.787 0.093  0.00
Cs 0.245 0.907 0.694  0.00
Cs 0.245 0.306 0.213  0.00
Cs 0.769 0.544 0.569  0.00
Cs 0.769 0.431 0.975  0.00
Cs 0.769 0.025 0.456  0.00
Y 0.820 0.000 0.000  0.30
Y 0.339 0.333 0.667  0.27
Y 0.494 0.667 0.333  0.11
Br 0.957 0.069 0.218  0.00
Br 0.957 0.782 0.852  0.00
Br 0.957 0.148 0.931  0.00
Br 0.471 0.260 0.448  0.00
Br 0.471 0.552 0.812  0.00
Br 0.471 0.188 0.740  0.00
Br 0.438 0.000 0.000  0.00
Br 0.957 0.333 0.667  0.00
Br 0.714 0.737 0.199  0.00
Br 0.714 0.801 0.538  0.00
Br 0.714 0.462 0.263  0.00
Br 0.276 0.598 0.470  0.00
Br 0.276 0.530 0.128  0.00
Br 0.276 0.872 0.402  0.00

Its symmetry is P3 (143). The calculation puts the energy at -88.55 eV per cell.


No. 18
## Cs2YBr6 (GGA-PBE)

Data for an optimized crystal structure of Cs2YBr6.

abc: 7.954 7.954 13.030
angles: 90.00 90.00 120.00
Last column: magnetic moment on the atom in μB.
Element x y z (fractional)
Cs 0.000 0.000 0.620  0.00
Cs 0.000 0.000 0.120  0.00
Cs 0.333 0.667 0.876  0.00
Cs 0.667 0.333 0.376  0.00
Y 0.333 0.667 0.254  -0.01
Y 0.667 0.333 0.754  -0.01
Br 0.498 0.996 0.127  0.10
Br 0.502 0.498 0.627  0.10
Br 0.996 0.498 0.627  0.10
Br 0.004 0.502 0.127  0.10
Br 0.498 0.502 0.127  0.10
Br 0.502 0.004 0.627  0.10
Br 0.836 0.672 0.872  0.11
Br 0.164 0.836 0.372  0.11
Br 0.672 0.836 0.372  0.11
Br 0.328 0.164 0.872  0.11
Br 0.836 0.164 0.872  0.11
Br 0.164 0.328 0.372  0.11

Its symmetry is P6_3mc (186). The calculation puts the energy at -65.14 eV per cell.


No. 19
## Cs4YBr7 (GGA-PBE)

Data for an optimized crystal structure of Cs4YBr7.

abc: 5.562 11.468 9.772
angles: 83.33 73.47 75.97
Element x y z (fractional)
Cs 0.610 0.238 0.542
Cs 0.390 0.762 0.458
Cs 0.732 0.637 0.899
Cs 0.268 0.363 0.101
Y 0.000 0.000 0.000
Br 0.727 0.893 0.653
Br 0.273 0.107 0.347
Br 0.048 0.779 0.126
Br 0.952 0.221 0.874
Br 0.374 0.511 0.742
Br 0.500 0.000 0.000
Br 0.626 0.489 0.258

Its symmetry is C2/m (12). The calculation puts the energy at -41.07 eV per cell.


No. 20
## Cs2YBr6 (GGA-PBE)

Data for an optimized crystal structure of Cs2YBr6.

abc: 4.596 9.120 9.120
angles: 120.00 90.00 90.00
Last column: magnetic moment on the atom in μB.
Element x y z (fractional)
Cs 0.500 0.333 0.667  0.00
Cs 0.500 0.667 0.333  0.00
Y 0.000 0.000 0.000  -0.01
Br 0.500 0.000 0.779  0.14
Br 0.500 0.779 0.000  0.14
Br 0.500 0.221 0.221  0.14
Br 0.000 0.669 0.669  0.13
Br 0.000 0.331 0.000  0.13
Br 0.000 0.000 0.331  0.13

Its symmetry is P-62m (189). The calculation puts the energy at -31.86 eV per cell.


| no. | total magnetization (μB/atom) |
| --- | --- |
| 1 | 0.00 |
| 2 | 0.29 |
| 3 | 0.10 |
| 4 | 0.00 |
| 5 | 1.19 |
| 6 | 0.00 |
| 7 | 0.37 |
| 8 | 0.00 |
| 9 | 0.00 |
| 10 | 0.30 |
| 11 | 0.00 |
| 12 | 1.25 |
| 13 | 0.13 |
| 14 | 0.10 |
| 15 | 0.00 |
| 16 | 0.00 |
| 17 | 0.05 |
| 18 | 0.09 |
| 19 | 0.01 |
| 20 | 0.12 |